Compound: Dy4ErPd2
Source: Alexandria via LeMat-Bulk
Functional: PBE
Structure: optimized geometry

The space group is R-3m (No. 166, hexagonal axes) and the conventional cell measures 3.9619, 3.9619 and 44.7236 Å, with angles of 90.00, 90.00 and 120.00 degrees. Symmetry generates all atoms from Dy at (0.0000, 0.0000, 0.1049), Dy at (0.0000, 0.0000, 0.3018), Er at (0.0000, 0.0000, 0.5000) and Pd at (0.0000, 0.0000, 0.4015).

The calculation puts the formation energy at -0.3468 eV/atom. The density of states at the Fermi level comes out at 1.21 states/eV/atom. The calculation puts the relative energy among the computed polymorphs at 0.0907 eV/atom.